A plane-wave DFT calculation with GGA-PBE was carried out for SrAgPd after structural relaxation.

Properties
Relative energy among the computed polymorphs in kJ/mol of atoms: 15.7
Formation energy from the elements in eV per formula unit: -0.8
Total magnetization in μB/cell: 0.0
Density in Mg/m³: 7.06

Cell: 3.7225 3.7225 10.2552 Å, 90.00 90.00 90.00°
Closest atoms and distances in Å follow each position.
Space group I4mm (No. 107)
Symmetry-distinct sites (fractional):
Sr 0.0000 0.0000 0.0000 [2 per cell]  5 Ag 3.08-3.33, 5 Pd 3.20-3.26
Ag 0.0000 0.0000 0.3005 [2 per cell]  4 Pd 2.87, 1 Sr 3.08
Pd 0.0000 0.0000 0.6882 [2 per cell]  4 Ag 2.87, 1 Sr 3.20

***

A plane-wave DFT calculation with GGA-PBE was carried out for AlFeTeI2 after structural relaxation.

Properties
Relative energy among the computed polymorphs in kJ/mol of atoms: 0.0
Total magnetization in μB/cell: 0.0
Density in Mg/m³: 5.16
Formation energy (no corrections) in eV/atom: 0.42

Cell: 5.5718 5.5718 4.8094 Å, 90.00 90.00 90.00°
Closest atoms and distances in Å follow each position.
Space group P4/mmm (No. 123)
Symmetry-distinct sites (fractional):
Al 0.0000 0.0000 0.0000 [1 per cell]  8 I 3.68, 4 Te 3.94
Fe 0.5000 0.5000 0.5000 [1 per cell]  2 Te 2.40
Te 0.5000 0.5000 0.0000 [1 per cell]  2 Fe 2.40
I 0.0000 0.5000 0.5000 [2 per cell]  2 Fe 2.79

***

A plane-wave DFT calculation with GGA-PBE was carried out for Ba2In3HgPd4 after structural relaxation.

Properties
Formation energy from the elements in eV per formula unit: -5.6
Total magnetization in μB/cell: 0.0
Density in Mg/m³: 8.14

Cell: 4.8582 4.8582 10.7686 Å, 90.00 90.00 90.00°
Closest atoms and distances in Å follow each position.
Space group P-4m2 (No. 115)
Symmetry-distinct sites (fractional):
Ba 0.0000 0.5000 0.2420 [2 per cell]  8 Pd 3.56-3.69, 2 Hg 3.69, 7 In 3.69-3.86
In 0.0000 0.5000 0.8840 [2 per cell]  5 Pd 2.72-2.73
In 0.5000 0.5000 0.5000 [1 per cell]  4 Pd 2.81
Hg 0.0000 0.0000 0.5000 [1 per cell]  4 Pd 2.81
Pd 0.0000 0.0000 0.0000 [1 per cell]  4 In 2.73
Pd 0.0000 0.5000 0.6317 [2 per cell]  3 In 2.72-2.81, 2 Hg 2.81
Pd 0.5000 0.5000 0.0000 [1 per cell]  4 In 2.73